# 1
In2Ga2Pb, PBEsol geometry, DFT SCAN; calculated volume = 234 Å³/cell; SG = P4/mbm, No. 127; offset from the most stable computed form = 0.017 eV/atom; E = -349.3 eV per cell
1.0
3.247 0.000 0.000
0.000 8.497 0.000
0.000 0.000 8.497
Pb Ga In
2 4 4
Cartesian
0.000 0.000 0.000
0.000 4.248 4.248
1.624 1.358 5.606
1.624 5.606 7.139
1.624 7.139 2.891
1.624 2.891 1.358
0.000 3.073 7.321
0.000 7.321 5.424
0.000 5.424 1.176
0.000 1.176 3.073

***

# 2
La2PtAu, PBEsol geometry, DFT SCAN; calculated volume = 109 Å³/cell; SG = P4/mmm, No. 123; E = -230.2 eV per cell
1.0
4.257 0.000 0.000
0.000 4.257 0.000
0.000 0.000 6.003
Au Pt La
1 1 2
Cartesian
2.128 2.128 5.253
0.000 0.000 2.251
0.000 0.000 5.252
2.128 2.128 2.251

***

# 3
LiB3Os, PBEsol geometry, DFT SCAN; calculated volume = 67 Å³/cell; SG = Pm-3m, No. 221; E = -94.5 eV per cell
1.0
-2.791 0.955 -2.805
-0.739 -3.956 -0.612
-2.870 0.090 2.886
B Os Li
3 1 1
Cartesian
-0.370 -1.978 -0.306
-1.435 0.045 1.443
-1.396 0.478 -1.402
0.000 0.000 0.000
-3.200 -1.455 -0.265

***

# 4
SrAu2F12, PBEsol geometry, DFT SCAN; calculated volume = 1057 Å³/cell; SG = Pm-3m, No. 221; E = -906.2 eV per cell; formation energy (no corrections) = -1.5660 eV per atom
1.0
10.188 0.000 0.000
0.000 10.188 0.000
0.000 0.000 10.188
Sr Au F
4 8 48
Cartesian
5.094 0.000 0.000
0.000 5.094 0.000
0.000 0.000 5.094
0.000 0.000 0.000
2.551 2.551 2.551
7.637 7.637 2.551
7.637 2.551 7.637
2.551 7.637 7.637
7.637 7.637 7.637
2.551 2.551 7.637
2.551 7.637 2.551
7.637 2.551 2.551
1.251 1.251 3.190
8.937 8.937 3.190
8.937 1.251 6.998
3.190 1.251 1.251
1.251 8.937 6.998
3.190 8.937 8.937
6.998 8.937 1.251
6.998 1.251 8.937
1.251 3.190 1.251
1.251 6.998 8.937
8.937 6.998 1.251
8.937 3.190 8.937
3.794 3.794 8.319
6.394 6.394 8.319
6.394 3.794 1.869
8.319 3.794 3.794
3.794 6.394 1.869
8.319 6.394 6.394
1.869 6.394 3.794
1.869 3.794 6.394
3.794 8.319 3.794
3.794 1.869 6.394
6.394 1.869 3.794
6.394 8.319 6.394
1.251 1.251 6.998
8.937 8.937 6.998
8.937 1.251 3.190
6.998 1.251 1.251
1.251 8.937 3.190
6.998 8.937 8.937
3.190 8.937 1.251
3.190 1.251 8.937
1.251 6.998 1.251
1.251 3.190 8.937
8.937 3.190 1.251
8.937 6.998 8.937
3.794 3.794 1.869
6.394 6.394 1.869
6.394 3.794 8.319
1.869 3.794 3.794
3.794 6.394 8.319
1.869 6.394 6.394
8.319 6.394 3.794
8.319 3.794 6.394
3.794 1.869 3.794
3.794 8.319 6.394
6.394 8.319 3.794
6.394 1.869 6.394

***

# 5
TaReNi, PBEsol geometry, DFT SCAN; calculated volume = 47 Å³/cell; SG = F-43m, No. 216; offset from the most stable computed form = 0.428 eV/atom; E = -152.6 eV per cell
1.0
4.059 0.000 0.000
2.030 3.515 0.000
2.030 1.172 3.314
Ni Re Ta
1 1 1
Cartesian
2.030 1.172 0.829
0.000 0.000 0.000
4.059 2.344 1.657

***

# 6
ReTeAs2W, PBEsol geometry, DFT SCAN; calculated volume = 118 Å³/cell; SG = P4/mmm, No. 123; E = -211.1 eV per cell; formation energy (no corrections) = 1.4664 eV per atom
1.0
4.610 0.000 0.000
0.000 4.610 0.000
0.000 0.000 5.542
Re As Te W
1 2 1 1
Cartesian
0.000 0.000 0.000
0.000 2.305 0.000
2.305 0.000 0.000
0.000 0.000 2.771
2.305 2.305 2.771

***

# 7
TlV2Cr3S8, PBEsol geometry, DFT SCAN; calculated volume = 233 Å³/cell; SG = Cm, No. 8; E = -254.1 eV per cell; formation energy (no corrections) = -1.0405 eV per atom
1.0
-0.196 -1.757 -2.785
5.746 -5.532 3.087
-7.282 -2.416 3.990
Tl V Cr S
1 2 3 8
Cartesian
-1.697 -9.677 4.272
0.655 -3.647 2.255
2.676 -3.700 0.193
1.735 -5.936 3.624
-3.511 -3.748 0.658
-2.256 -6.059 2.028
-2.218 -6.488 4.250
0.409 -3.170 0.018
0.124 -6.027 1.841
-1.833 -3.657 2.437
-4.870 -2.215 1.740
3.102 -7.479 2.548
2.830 -4.221 2.465
-4.492 -5.553 1.866

***

# 8
BeSnAs2Se, PBEsol geometry, DFT SCAN; calculated volume = 138 Å³/cell; SG = P4/mmm, No. 123; E = -94.1 eV per cell; formation energy (no corrections) = 1.3293 eV per atom
1.0
-2.209 -3.175 3.380
4.603 -2.178 0.962
0.838 3.443 3.782
Be As Sn Se
1 2 1 1
Cartesian
1.616 -0.955 4.062
0.419 1.721 1.891
2.301 -1.089 0.481
0.000 0.000 0.000
-1.104 -1.587 1.690

***

# 9
As2PtCO, PBEsol geometry, DFT SCAN; calculated volume = 67 Å³/cell; SG = P4/mmm, No. 123; E = -121.1 eV per cell; formation energy (no corrections) = 1.1538 eV per atom
1.0
-0.173 2.342 -2.967
-2.725 -2.579 -1.877
-3.184 2.051 1.805
C As O Pt
1 2 1 1
Cartesian
-0.086 1.171 -1.483
-1.592 1.026 0.902
-1.363 -1.289 -0.938
0.000 0.000 0.000
-3.041 0.907 -1.519

***

# 10
Y2SiTe, PBEsol geometry, DFT SCAN; calculated volume = 98 Å³/cell; SG = Immm, No. 71; offset from the most stable computed form = 0.419 eV/atom; E = -106.3 eV per cell; formation energy (no corrections) = -0.8340 eV per atom
1.0
4.445 0.000 0.000
2.223 4.810 0.029
2.223 1.438 4.590
Si Te Y
1 1 2
Cartesian
2.223 0.000 0.000
2.223 3.124 2.309
4.445 4.757 3.517
4.445 1.490 1.102